1.
The following is a DFT calculation (PBE-GGA) of a relaxed ZnWAu2 crystal.

```
4
Lattice="5.096 -0.009 -0.004 -1.739 4.790 -0.004 0.004 0.006 2.737" Properties=species:S:1:pos:R:3 pbc="T T T"
Au 1.678 2.391 -0.004
Zn -0.868 2.398 1.366
W 2.550 -0.001 1.366
Au 0.000 0.000 0.000
```

Properties
- ΔE_f (eV/f.u.) = 1.2
- crystal system = orthorhombic
- D(E_F) (states/eV per cell) = 3.111

=====

2.
The following is a DFT calculation (PBE-GGA) of a relaxed NiHgSb crystal.

```
3
Lattice="3.418 0.000 0.000 -1.709 2.960 0.000 0.000 0.000 6.235" Properties=species:S:1:pos:R:3 pbc="T T T"
Sb 1.709 0.987 3.777
Hg 0.000 0.000 0.279
Ni 0.000 1.973 2.179
```

Properties
- crystal system = trigonal
- D(E_F) (states/eV per cell) = 1.567
- E_form (uncorrected) (meV per atom) = 78

=====

3.
The following is a DFT calculation (PBE-GGA) of a relaxed CaTePd crystal.

```
6
Lattice="-3.736 -0.942 2.567 2.179 -6.599 4.912 2.832 3.456 1.214" Properties=species:S:1:pos:R:3 pbc="T T T"
Pd 2.465 -3.843 4.003
Te 2.938 -1.653 5.494
Te 0.202 -1.176 1.688
Ca 1.887 -4.459 7.108
Ca -0.259 -1.930 4.914
Pd 1.282 0.299 3.800
```

Properties
- crystal system = monoclinic
- D(E_F) (states/eV per cell) = 0.041
- E_form (uncorrected) (meV per atom) = -1046

=====

no.,V (Å³/atom)
1,16.69
2,21.03
3,25.01